First-principles (PBE) data for a relaxed BaAcPd5Pb2 crystal, as listed in Alexandria.

a b c (Å): 4.9660 4.9660 8.8922
angles (deg): 90.00 90.00 90.00
Atoms (fractional coordinates):
Ba1 0.0000 0.0000 0.0000
Ac1 0.0000 0.0000 0.5000
Pd1 0.0000 0.5000 0.2172
Pd2 0.0000 0.5000 0.7828
Pd3 0.5000 0.0000 0.2172
Pd4 0.5000 0.0000 0.7828
Pd5 0.5000 0.5000 0.0000
Pb1 0.5000 0.5000 0.3308
Pb2 0.5000 0.5000 0.6692

Summary:
Electronic total energy, eV for the cell shown: -43.1
Crystal system: tetragonal
V, Å³ per atom: 24.37

First-principles (PBE) data for a relaxed PmTiSnHg crystal, as listed in Alexandria.

a b c (Å): 7.2748 7.2748 7.2748
angles (deg): 90.00 90.00 90.00
Atoms (fractional coordinates):
Pm1 0.0000 0.0000 0.0000
Pm2 0.0000 0.5000 0.5000
Pm3 0.5000 0.0000 0.5000
Pm4 0.5000 0.5000 0.0000
Ti1 0.0000 0.0000 0.5000
Ti2 0.0000 0.5000 0.0000
Ti3 0.5000 0.0000 0.0000
Ti4 0.5000 0.5000 0.5000
Sn1 0.2500 0.2500 0.7500
Sn2 0.2500 0.7500 0.2500
Sn3 0.7500 0.2500 0.2500
Sn4 0.7500 0.7500 0.7500
Hg1 0.2500 0.2500 0.2500
Hg2 0.2500 0.7500 0.7500
Hg3 0.7500 0.2500 0.7500
Hg4 0.7500 0.7500 0.2500

Summary:
Electronic total energy, eV for the cell shown: -71.9
Crystal system: cubic
V, Å³ per atom: 24.06

First-principles (PBE) data for a relaxed La2SiSeO4 crystal, as listed in Alexandria.

a b c (Å): 6.3391 7.3748 11.2869
angles (deg): 90.00 90.00 90.00
Atoms (fractional coordinates):
La1 0.1087 0.2500 0.0000
La2 0.1087 0.2500 0.5000
La3 0.3721 0.5377 0.2500
La4 0.3721 0.9623 0.7500
La5 0.6279 0.0377 0.2500
La6 0.6279 0.4623 0.7500
La7 0.8913 0.7500 0.0000
La8 0.8913 0.7500 0.5000
Si1 0.3860 0.7500 0.0000
Si2 0.3860 0.7500 0.5000
Si3 0.6140 0.2500 0.0000
Si4 0.6140 0.2500 0.5000
Se1 0.0740 0.6103 0.7500
Se2 0.0740 0.8897 0.2500
Se3 0.9260 0.1103 0.7500
Se4 0.9260 0.3897 0.2500
O1 0.2305 0.5778 0.0323
O2 0.2305 0.5778 0.4677
O3 0.2305 0.9222 0.5323
O4 0.2305 0.9222 0.9677
O5 0.4548 0.2318 0.6160
O6 0.4548 0.2318 0.8840
O7 0.4548 0.2682 0.1160
O8 0.4548 0.2682 0.3840
O9 0.5452 0.7318 0.6160
O10 0.5452 0.7318 0.8840
O11 0.5452 0.7682 0.1160
O12 0.5452 0.7682 0.3840
O13 0.7695 0.0778 0.0323
O14 0.7695 0.0778 0.4677
O15 0.7695 0.4222 0.5323
O16 0.7695 0.4222 0.9677

Summary:
Formation energy without anion corrections, eV per atom: -3.05
Crystal system: orthorhombic
V, Å³ per atom: 16.49

First-principles (PBE) data for a relaxed InRhPb2 crystal, as listed in Alexandria.

a b c (Å): 3.3475 3.3475 8.6327
angles (deg): 90.00 90.00 90.00
Atoms (fractional coordinates):
In1 0.0000 0.0000 0.0000
Rh1 0.5000 0.5000 0.8335
Pb1 0.0000 0.0000 0.6176
Pb2 0.5000 0.5000 0.2860

Summary:
Electronic total energy, eV for the cell shown: -17.7
Crystal system: tetragonal
V, Å³ per atom: 24.18

First-principles (PBE) data for a relaxed NpCI crystal, as listed in Alexandria.

a b c (Å): 3.3857 3.3857 24.8217
angles (deg): 90.00 90.00 90.00
Atoms (fractional coordinates):
Np1 0.0000 0.0000 0.1938
Np2 0.0000 0.0000 0.8062
Np3 0.5000 0.5000 0.3062
Np4 0.5000 0.5000 0.6938
C1 0.0000 0.0000 0.2830
C2 0.0000 0.0000 0.7170
C3 0.5000 0.5000 0.2170
C4 0.5000 0.5000 0.7830
I1 0.0000 0.0000 0.4059
I2 0.0000 0.0000 0.5941
I3 0.5000 0.5000 0.0941
I4 0.5000 0.5000 0.9059

Summary:
Formation energy without anion corrections, eV per atom: 0.10
Crystal system: tetragonal
V, Å³ per atom: 23.71

First-principles (PBE) data for a relaxed GaFe3Si crystal, as listed in Alexandria.

a b c (Å): 4.3105 4.3105 4.3105
angles (deg): 90.00 90.00 90.00
Atoms (fractional coordinates):
Ga1 0.0000 0.0000 0.0000
Fe1 0.0000 0.5000 0.5000
Fe2 0.5000 0.0000 0.5000
Fe3 0.5000 0.5000 0.0000
Si1 0.5000 0.5000 0.5000

Summary:
E above lowest polymorph, meV/atom: 0
Formation energy without anion corrections, eV per atom: 0.56
Crystal system: cubic
V, Å³ per atom: 16.02

First-principles (PBE) data for a relaxed Ac2Zn4NiPt3 crystal, as listed in Alexandria.

a b c (Å): 4.3213 4.3213 10.7906
angles (deg): 90.00 90.00 90.00
Atoms (fractional coordinates):
Ac1 0.0000 0.5000 0.2419
Ac2 0.5000 0.0000 0.7581
Zn1 0.0000 0.0000 0.5000
Zn2 0.0000 0.5000 0.8801
Zn3 0.5000 0.0000 0.1199
Zn4 0.5000 0.5000 0.5000
Ni1 0.5000 0.5000 0.0000
Pt1 0.0000 0.0000 0.0000
Pt2 0.0000 0.5000 0.6402
Pt3 0.5000 0.0000 0.3598

Summary:
Electronic total energy, eV for the cell shown: -44.0
Crystal system: tetragonal
V, Å³ per atom: 20.15

First-principles (PBE) data for a relaxed LiBeTe2F crystal, as listed in Alexandria.

a b c (Å): 5.6971 5.6971 3.2461
angles (deg): 90.00 90.00 90.00
Atoms (fractional coordinates):
Li1 0.0000 0.0000 0.0000
Be1 0.5000 0.5000 0.0000
Te1 0.0000 0.5000 0.5000
Te2 0.5000 0.0000 0.5000
F1 0.0000 0.0000 0.5000

Summary:
Formation energy without anion corrections, eV per atom: -0.28
Crystal system: tetragonal
V, Å³ per atom: 21.07

Number 1: DOS at the Fermi energy 0.410 states/eV/atom. Number 2: DOS at the Fermi energy 1.145 states/eV/atom. Number 3: DOS at the Fermi energy 0.000 states/eV/atom. Number 4: DOS at the Fermi energy 0.828 states/eV/atom. Number 5: DOS at the Fermi energy 1.238 states/eV/atom. Number 6: DOS at the Fermi energy 1.039 states/eV/atom. Number 7: DOS at the Fermi energy 0.586 states/eV/atom. Number 8: DOS at the Fermi energy 0.547 states/eV/atom.